Entry 1:
Zn2Co5Cu, relaxed, DFT GGA-PBE; SG = No. 38; formation energy = 0.064 eV/atom
1.0
4.1361 0.0000 0.0000
0.0000 2.5201 4.4389
0.0000 -2.5201 4.4389
Co Zn Cu
5 2 1
Direct
0.5000 0.8325 0.8325
0.0000 0.1764 0.6729
0.5000 0.8255 0.3241
0.0000 0.6729 0.1764
0.5000 0.3241 0.8255
0.5000 0.3278 0.3278
0.0000 0.6725 0.6725
0.0000 0.1684 0.1684

---

Entry 2:
Zn2CoCu5, relaxed, DFT GGA-PBE; SG = No. 123; polymorph energy (0 for the lowest one) = 0.34 eV per formula unit; formation energy = 0.033 eV/atom
1.0
-1.1441 -2.1635 3.2169
0.0273 -3.3585 -2.2490
5.6326 -0.8933 1.4024
Cu Co Zn
5 1 2
Direct
0.5000 0.0000 0.2474
0.0000 0.0000 0.5000
0.0000 0.5000 0.7526
0.0000 0.5000 0.2474
0.5000 0.0000 0.7526
0.5000 0.5000 0.0000
0.5000 0.5000 0.5000
0.0000 0.0000 0.0000

---

Entry 3:
ZrZnCoCu, relaxed, DFT GGA-PBE; SG = No. 216; polymorph energy (0 for the lowest one) = 0.50 eV per formula unit; formation energy = -0.039 eV/atom
1.0
0.0000 3.0826 3.0826
3.0826 0.0000 3.0826
3.0826 3.0826 0.0000
Zn Co Zr Cu
1 1 1 1
Direct
0.0000 0.0000 0.0000
0.5000 0.5000 0.5000
0.2500 0.2500 0.2500
0.7500 0.7500 0.7500

---

Entry 4:
ZrZnCoCu, relaxed, DFT GGA-PBE; SG = No. 216; polymorph energy (0 for the lowest one) = 0.00 eV per formula unit; formation energy = -0.164 eV/atom
1.0
1.4610 2.0172 3.5608
-0.4047 4.3102 0.3758
-2.8133 1.6774 2.8556
Zr Zn Co Cu
1 1 1 1
Direct
0.5000 0.5000 0.5000
0.0000 0.0000 0.0000
0.7500 0.7500 0.7500
0.2500 0.2500 0.2500

---

Entry 5:
ZrCo2Cu, relaxed, DFT GGA-PBE; SG = No. 216; formation energy = 0.042 eV/atom
1.0
0.0000 3.0285 3.0285
3.0285 0.0000 3.0285
3.0285 3.0285 0.0000
Co Cu Zr
2 1 1
Direct
0.7500 0.7500 0.7500
0.0000 0.0000 0.0000
0.2500 0.2500 0.2500
0.5000 0.5000 0.5000

---

Entry 6:
ZrCoCu2, relaxed, DFT GGA-PBE; SG = No. 216; formation energy = -0.037 eV/atom
1.0
-0.9824 -3.8686 1.6031
-4.0911 -1.3266 0.0620
-1.2776 -3.1559 -2.6285
Zr Cu Co
1 2 1
Direct
0.5000 0.5000 0.5000
0.0000 0.0000 0.0000
0.7500 0.7500 0.7500
0.2500 0.2500 0.2500

---

Entry 7:
Dy3Co, relaxed, DFT GGA-PBE; SG = No. 139; formation energy = 0.299 eV/atom
1.0
-2.1948 2.1948 5.0476
2.1948 -2.1948 5.0476
2.1948 2.1948 -5.0476
Dy Co
3 1
Direct
0.5000 0.5000 0.0000
0.7500 0.2500 0.5000
0.2500 0.7500 0.5000
0.0000 0.0000 0.0000

---

Entry 8:
Dy2Co17, relaxed, DFT GGA-PBE; SG = No. 166; polymorph energy (0 for the lowest one) = 3.49 eV per formula unit; formation energy = 0.085 eV/atom
1.0
3.4179 1.5980 -4.9625
-0.3690 -6.0949 -1.2563
-4.7292 1.8170 -3.6325
Co Dy
17 2
Direct
0.6530 0.3470 0.1503
0.0965 0.9035 0.0965
0.0000 0.7113 0.7113
0.5000 0.0000 0.0000
0.6530 0.8497 0.6530
0.7113 0.7113 0.0000
0.3470 0.6530 0.8497
0.2887 0.0000 0.7113
0.0000 0.5000 0.0000
0.7113 0.0000 0.2887
0.1503 0.3470 0.6530
0.2887 0.2887 0.0000
0.9035 0.0965 0.9035
0.3470 0.1503 0.3470
0.0000 0.0000 0.5000
0.8497 0.6530 0.3470
0.0000 0.2887 0.2887
0.3439 0.6561 0.3439
0.6561 0.3439 0.6561

---

Entry 9:
Dy2Co17, relaxed, DFT GGA-PBE; SG = No. 194; polymorph energy (0 for the lowest one) = 0.03 eV per formula unit; formation energy = -0.097 eV/atom
1.0
8.2484 0.0000 0.0000
-4.1242 7.1433 0.0000
0.0000 0.0000 8.0487
Co Dy
34 4
Direct
0.6713 0.6251 0.7500
0.3749 0.0462 0.7500
0.1664 0.8336 0.9784
0.8336 0.6672 0.4784
0.6667 0.3333 0.6061
0.0462 0.3749 0.2500
0.3328 0.1664 0.0216
0.8336 0.6672 0.0216
0.0462 0.6713 0.2500
0.3333 0.6667 0.3939
0.6251 0.6713 0.2500
0.1664 0.8336 0.5216
0.9538 0.3287 0.7500
0.6672 0.8336 0.9784
0.3287 0.3749 0.2500
0.6672 0.8336 0.5216
0.9538 0.6251 0.7500
0.3749 0.3287 0.7500
0.8336 0.1664 0.0216
0.3333 0.6667 0.1061
0.5000 0.0000 0.0000
0.1664 0.3328 0.5216
0.6667 0.3333 0.8939
0.6251 0.9538 0.2500
0.3328 0.1664 0.4784
0.3287 0.9538 0.2500
0.8336 0.1664 0.4784
0.6713 0.0462 0.7500
0.5000 0.5000 0.5000
0.0000 0.5000 0.5000
0.1664 0.3328 0.9784
0.0000 0.5000 0.0000
0.5000 0.0000 0.5000
0.5000 0.5000 0.0000
0.3333 0.6667 0.7500
0.0000 0.0000 0.7500
0.6667 0.3333 0.2500
0.0000 0.0000 0.2500

---

Entry 10:
Dy2Co17, relaxed, DFT GGA-PBE; SG = No. 166; polymorph energy (0 for the lowest one) = 3.49 eV per formula unit; formation energy = 0.085 eV/atom
1.0
5.9482 0.1258 -1.8616
0.7519 3.3697 5.1906
1.6721 -5.5006 2.4104
Co Dy
17 2
Direct
0.8497 0.6530 0.3470
0.6530 0.3470 0.1503
0.7113 0.0000 0.2887
0.3470 0.6530 0.8497
0.3470 0.1503 0.3470
0.2887 0.0000 0.7113
0.0965 0.9035 0.0965
0.0000 0.0000 0.5000
0.7113 0.7113 0.0000
0.6530 0.8497 0.6530
0.1503 0.3470 0.6530
0.0000 0.7113 0.7113
0.0000 0.5000 0.0000
0.5000 0.0000 0.0000
0.9035 0.0965 0.9035
0.2887 0.2887 0.0000
0.0000 0.2887 0.2887
0.3440 0.6560 0.3439
0.6560 0.3439 0.6560

---

Entry 11:
Dy2Co7, relaxed, DFT GGA-PBE; SG = No. 166; formation energy = -0.153 eV/atom
1.0
-4.6353 -2.8728 11.0444
-1.3799 -6.5263 10.3547
0.1353 -2.1681 12.1243
Co Dy
14 4
Direct
0.7213 0.7213 0.7213
0.3904 0.3904 0.8918
0.2787 0.2787 0.2787
0.8918 0.3904 0.3904
0.1082 0.6096 0.6096
0.0000 0.5000 0.5000
0.6096 0.1082 0.6096
0.6116 0.6116 0.6116
0.3884 0.3884 0.3884
0.5000 0.5000 0.5000
0.3904 0.8918 0.3904
0.5000 0.0000 0.5000
0.6096 0.6096 0.1082
0.5000 0.5000 0.0000
0.0515 0.0515 0.0515
0.8518 0.8518 0.8518
0.1482 0.1482 0.1482
0.9485 0.9485 0.9485

---

Entry 12:
Dy2Co17, relaxed, DFT GGA-PBE; SG = No. 166; polymorph energy (0 for the lowest one) = 0.00 eV per formula unit; formation energy = -0.099 eV/atom
1.0
-5.3172 1.2214 -3.0086
-3.8708 -1.8795 4.5056
-1.0224 5.6092 2.5115
Co Dy
17 2
Direct
0.6541 0.6541 0.1503
0.0000 0.2888 0.7112
0.3459 0.3459 0.8497
0.3459 0.8497 0.3459
0.0000 0.7112 0.2888
0.1503 0.6541 0.6541
0.6541 0.1503 0.6541
0.0966 0.0966 0.0966
0.7112 0.0000 0.2888
0.0000 0.5000 0.0000
0.9034 0.9034 0.9034
0.0000 0.0000 0.5000
0.8497 0.3459 0.3459
0.2888 0.7112 0.0000
0.7112 0.2888 0.0000
0.2888 0.0000 0.7112
0.5000 0.0000 0.0000
0.6558 0.6558 0.6558
0.3442 0.3442 0.3442

---

Entry 13:
Dy3Co, relaxed, DFT GGA-PBE; SG = No. 194; formation energy = 0.149 eV/atom
1.0
7.1841 0.0000 0.0000
-3.5921 6.2216 0.0000
0.0000 0.0000 4.3911
Co Dy
2 6
Direct
0.6667 0.3333 0.2500
0.3333 0.6667 0.7500
0.1871 0.3741 0.2500
0.8129 0.6259 0.7500
0.8129 0.1871 0.7500
0.1871 0.8129 0.2500
0.3741 0.1871 0.7500
0.6259 0.8129 0.2500

---

Entry 14:
DyCo2, relaxed, DFT GGA-PBE; SG = No. 136; formation energy = 1.383 eV/atom
1.0
5.0577 0.0000 0.0000
0.0000 5.0577 0.0000
0.0000 0.0000 4.2477
Co Dy
4 2
Direct
0.3312 0.3312 0.0000
0.8312 0.1688 0.5000
0.6688 0.6688 0.0000
0.1688 0.8312 0.5000
0.5000 0.5000 0.5000
0.0000 0.0000 0.0000

---

Entry 15:
Dy3Co, relaxed, DFT GGA-PBE; SG = No. 62; formation energy = -0.164 eV/atom
1.0
-2.5639 2.7817 5.7849
5.5859 -5.5306 5.1351
4.4298 4.3534 -0.1300
Dy Co
12 4
Direct
0.5438 0.2500 0.8583
0.9562 0.7500 0.3583
0.0438 0.2500 0.6417
0.6753 0.0676 0.3237
0.8247 0.5676 0.8237
0.3247 0.5676 0.6763
0.8247 0.9324 0.8237
0.3247 0.9324 0.6763
0.4562 0.7500 0.1417
0.6753 0.4324 0.3237
0.1753 0.4324 0.1763
0.1753 0.0676 0.1763
0.6119 0.7500 0.5482
0.1119 0.7500 0.9518
0.8881 0.2500 0.0482
0.3881 0.2500 0.4518

---

Entry 16:
Dy3Co, relaxed, DFT GGA-PBE; SG = No. 225; formation energy = 0.319 eV/atom
1.0
0.1927 0.0743 5.1757
-3.0686 -3.1377 2.7513
2.0345 -4.0084 2.5738
Co Dy
1 3
Direct
0.7500 0.7500 0.7500
0.0000 0.0000 0.0000
0.5000 0.5000 0.5000
0.2500 0.2500 0.2500

---

Entry 17:
Dy3Co, relaxed, DFT GGA-PBE; SG = No. 221; formation energy = 0.265 eV/atom
1.0
4.6100 0.0000 0.0000
0.0000 4.6100 0.0000
0.0000 0.0000 4.6100
Dy Co
3 1
Direct
0.0000 0.5000 0.5000
0.5000 0.0000 0.5000
0.5000 0.5000 0.0000
0.0000 0.0000 0.0000

---

Entry 18:
DyCo2, relaxed, DFT GGA-PBE; SG = No. 227; formation energy = -0.201 eV/atom
1.0
3.5682 -3.5682 0.0000
-3.5682 0.0000 -3.5682
3.5682 3.5682 0.0000
Co Dy
4 2
Direct
0.3750 0.7500 0.6250
0.3750 0.7500 0.1250
0.3750 0.2500 0.6250
0.8750 0.2500 0.6250
0.7500 0.5000 0.2500
0.0000 0.0000 0.0000

---

Entry 19:
Dy2ErCo9, relaxed, DFT GGA-PBE; SG = No. 166; formation energy = -0.180 eV/atom
1.0
2.4654 1.4234 8.0753
-2.4654 1.4234 8.0753
0.0000 -2.8468 8.0753
Co Er Dy
9 1 2
Direct
0.3345 0.3345 0.3345
0.5000 0.5000 0.5000
0.5819 0.0792 0.5819
0.6655 0.6655 0.6655
0.4181 0.4181 0.9208
0.4181 0.9208 0.4181
0.5819 0.5819 0.0792
0.9208 0.4181 0.4181
0.0792 0.5819 0.5819
0.0000 0.0000 0.0000
0.8603 0.8603 0.8603
0.1397 0.1397 0.1397

---

Entry 20:
DyErCo4, relaxed, DFT GGA-PBE; SG = No. 216; formation energy = -0.220 eV/atom
1.0
-3.3016 -3.7872 -0.0326
-3.5429 -0.2748 3.5521
-4.8075 0.8682 -1.1744
Dy Co Er
1 4 1
Direct
0.5000 0.5000 0.5000
0.8751 0.3746 0.8751
0.8751 0.8751 0.8751
0.3746 0.8751 0.8751
0.8751 0.8751 0.3746
0.2500 0.2500 0.2500